A plane-wave DFT calculation with PBE was carried out for an optimized crystal structure of PaSnHg2.

* DFT formation energy: 85 meV per atom
* space-group type: P4/mmm (123)
* raw total energy: -3.44 eV/atom
* Fermi-level density of states: 1.6965 states/eV/atom

a = 3.8413 Å, b = 3.8413 Å, c = 6.8812 Å
α = 90.00°, β = 90.00°, γ = 90.00°
Fractional coordinates of all 4 atoms:
1 Pa 0.0000 0.0000 0.0000
2 Sn 0.0000 0.0000 0.5000
3 Hg 0.5000 0.5000 0.2597
4 Hg 0.5000 0.5000 0.7403